[1]
LiPr2Bi2: optimized geometry, PBE-GGA.

POSCAR file:
```
LiPr2Bi2
1.0
-3.913 -5.264 -1.053
3.990 -1.955 -5.052
3.689 -0.033 7.407
Bi Pr Li
4 4 2
direct
0.382 0.621 0.765
0.882 0.144 0.765
0.618 0.379 0.235
0.118 0.856 0.235
0.142 0.362 0.284
0.358 0.078 0.716
0.858 0.638 0.716
0.642 0.922 0.284
0.750 0.500 0.000
0.250 0.500 0.000
```

## Properties
Calculated formation energy ... -3.80 eV/f.u.
VASP energy ... -46.1 eV per cell
D(E_F) ... 0.503 states/eV/atom

[2]
Li7PrBi4: optimized geometry, PBE-GGA.

POSCAR file:
```
Li7PrBi4
1.0
-3.905 2.967 -1.821
-6.538 -0.257 6.086
0.678 6.590 1.769
Li Bi Pr
7 4 1
direct
0.500 0.000 0.000
0.220 0.099 0.461
0.780 0.901 0.539
0.067 0.632 0.235
0.655 0.439 0.251
0.933 0.368 0.765
0.345 0.561 0.749
0.287 0.301 0.125
0.581 0.219 0.619
0.419 0.781 0.381
0.713 0.699 0.875
0.000 0.000 0.000
```

## Properties
Calculated formation energy ... -3.83 eV/f.u.
VASP energy ... -37.5 eV per cell
D(E_F) ... 0.329 states/eV/atom

[3]
Li3Pr4Bi8: optimized geometry, PBE-GGA.

POSCAR file:
```
Li3Pr4Bi8
1.0
-2.225 -1.221 -3.827
-3.583 -1.374 2.522
-8.160 18.909 -1.288
Li Pr Bi
3 4 8
direct
0.000 0.000 0.500
0.000 0.000 0.000
0.500 0.500 0.500
0.500 0.000 0.885
0.500 0.000 0.367
0.000 0.500 0.633
0.000 0.500 0.115
0.500 0.000 0.585
0.500 0.000 0.070
0.500 0.500 0.758
0.500 0.500 0.242
0.000 0.500 0.415
0.000 0.000 0.241
0.000 0.500 0.930
0.000 0.000 0.759
```

## Properties
Calculated formation energy ... -9.82 eV/f.u.
VASP energy ... -65.7 eV per cell
D(E_F) ... 0.460 states/eV/atom

[4]
Li3PrBi3: optimized geometry, PBE-GGA.

POSCAR file:
```
Li3PrBi3
1.0
-4.910 2.369 4.863
3.353 -3.820 5.247
4.244 5.759 1.480
Li Bi Pr
6 6 2
direct
0.750 0.500 0.000
0.500 0.000 0.750
0.500 0.000 0.250
0.250 0.500 0.000
0.000 0.250 0.500
0.000 0.750 0.500
0.250 0.000 0.500
0.500 0.750 0.000
0.000 0.500 0.250
0.750 0.000 0.500
0.500 0.250 0.000
0.000 0.500 0.750
0.000 0.000 0.000
0.500 0.500 0.500
```

## Properties
Energy above the most stable polymorph in this dataset ... 2.284 eV/f.u.
Calculated formation energy ... -0.43 eV/f.u.
VASP energy ... -45.2 eV per cell
D(E_F) ... 0.573 states/eV/atom

[5]
Li6PrBi4: optimized geometry, PBE-GGA.

POSCAR file:
```
Li6PrBi4
1.0
-3.020 0.230 -3.352
3.413 -6.532 -3.524
-6.059 -0.968 5.393
Li Bi Pr
6 4 1
direct
0.500 0.214 0.786
0.000 0.533 0.467
0.500 0.573 0.786
0.500 0.214 0.427
0.000 0.935 0.467
0.000 0.533 0.065
0.500 0.819 0.181
0.500 0.819 0.638
0.500 0.362 0.181
0.000 0.333 0.667
0.000 0.000 0.000
```

## Properties
Calculated formation energy ... -5.18 eV/f.u.
VASP energy ... -37.0 eV per cell
D(E_F) ... 0.561 states/eV/atom

[6]
LiPrBi: optimized geometry, PBE-GGA.

POSCAR file:
```
LiPrBi
1.0
-2.712 3.542 1.894
-3.032 2.507 -2.830
-4.788 -0.593 0.455
Bi Li Pr
1 1 1
direct
0.000 0.000 0.000
0.250 0.250 0.250
0.500 0.500 0.500
```

## Properties
Energy above the most stable polymorph in this dataset ... 0.626 eV/f.u.
Calculated formation energy ... -1.54 eV/f.u.
VASP energy ... -12.1 eV per cell
D(E_F) ... 0.342 states/eV/atom

[7]
LiPrBi: optimized geometry, PBE-GGA.

POSCAR file:
```
LiPrBi
1.0
4.483 0.000 -0.774
0.000 4.550 0.000
1.334 0.000 7.729
Bi Li Pr
2 2 2
direct
0.250 0.750 0.730
0.750 0.250 0.270
0.750 0.750 0.500
0.250 0.250 0.500
0.250 0.750 0.155
0.750 0.250 0.845
```

## Properties
Energy above the most stable polymorph in this dataset ... 0.000 eV/f.u.
Calculated formation energy ... -2.16 eV/f.u.
VASP energy ... -25.5 eV per cell
D(E_F) ... 0.601 states/eV/atom

[8]
LiPr2Bi3: optimized geometry, PBE-GGA.

POSCAR file:
```
LiPr2Bi3
1.0
-1.787 -0.782 3.873
4.235 -2.656 1.418
2.296 8.980 0.445
Bi Pr Li
3 2 1
direct
0.165 0.165 0.329
0.835 0.835 0.671
0.000 0.500 0.000
0.353 0.353 0.707
0.647 0.647 0.293
0.000 0.000 0.000
```

## Properties
Calculated formation energy ... -3.26 eV/f.u.
VASP energy ... -26.4 eV per cell
D(E_F) ... 0.635 states/eV/atom

[9]
LiPrBi: optimized geometry, PBE-GGA.

POSCAR file:
```
LiPrBi
1.0
-2.169 1.110 2.905
-2.642 -2.525 -1.008
4.886 -3.230 2.409
Bi Li Pr
1 1 1
direct
0.920 0.920 0.840
0.313 0.313 0.627
0.617 0.617 0.233
```

## Properties
Energy above the most stable polymorph in this dataset ... 1.059 eV/f.u.
Calculated formation energy ... -1.10 eV/f.u.
VASP energy ... -11.7 eV per cell
D(E_F) ... 0.865 states/eV/atom

[10]
Li3PrBi3: optimized geometry, PBE-GGA.

POSCAR file:
```
Li3PrBi3
1.0
9.254 0.000 0.000
4.627 8.015 0.000
4.627 2.672 5.392
Bi Li Pr
6 6 2
direct
0.544 0.870 0.252
0.456 0.130 0.748
0.334 0.544 0.252
0.666 0.456 0.748
0.870 0.334 0.252
0.130 0.666 0.748
0.672 0.166 0.234
0.834 0.072 0.766
0.166 0.928 0.234
0.928 0.672 0.234
0.328 0.834 0.766
0.072 0.328 0.766
0.715 0.715 0.855
0.285 0.285 0.145
```

## Properties
Energy above the most stable polymorph in this dataset ... 0.000 eV/f.u.
Calculated formation energy ... -2.71 eV/f.u.
VASP energy ... -49.8 eV per cell
D(E_F) ... 0.213 states/eV/atom

[11]
LiPrBi: optimized geometry, PBE-GGA.

POSCAR file:
```
LiPrBi
1.0
4.348 0.000 0.000
0.000 4.632 0.000
0.000 -2.316 4.011
Pr Li Bi
1 1 1
direct
0.667 0.333 0.667
0.167 0.667 0.333
0.167 0.000 0.000
```

## Properties
Energy above the most stable polymorph in this dataset ... 0.106 eV/f.u.
Calculated formation energy ... -2.06 eV/f.u.
VASP energy ... -12.6 eV per cell
D(E_F) ... 0.475 states/eV/atom

[12]
LiPrBi: optimized geometry, PBE-GGA.

POSCAR file:
```
LiPrBi
1.0
6.260 0.000 0.000
0.000 6.530 -0.197
0.000 -3.162 8.120
Li Pr Bi
4 4 4
direct
0.595 0.623 0.205
0.095 0.877 0.295
0.905 0.123 0.705
0.405 0.377 0.795
0.362 0.821 0.638
0.638 0.179 0.362
0.138 0.321 0.138
0.862 0.679 0.862
0.839 0.705 0.475
0.339 0.795 0.025
0.661 0.205 0.975
0.161 0.295 0.525
```

## Properties
Energy above the most stable polymorph in this dataset ... 0.406 eV/f.u.
Calculated formation energy ... -1.76 eV/f.u.
VASP energy ... -49.3 eV per cell
D(E_F) ... 0.744 states/eV/atom